<1>
This record from Alexandria via LeMat-Bulk describes an optimized crystal structure of LiAcGaIr. The functional is GGA-PBE.

Cell: 4.4326 4.4326 15.5005 Å, 90.00 90.00 120.00°
Space group R3m (No. 160, hexagonal axes)
Unique sites:
1 Li 0.0000 0.0000 0.0000 (multiplicity 3)
2 Ac 0.0000 0.0000 0.1924 (multiplicity 3)
3 Ga 0.0000 0.0000 0.7138 (multiplicity 3)
4 Ir 0.0000 0.0000 0.3993 (multiplicity 3)

---

<2>
This record from Alexandria via LeMat-Bulk describes an optimized crystal structure of LiAcGaIr. The functional is GGA-PBE.

Cell: 6.9304 6.9304 6.9304 Å, 90.00 90.00 90.00°
Space group F-43m (No. 216)
Unique sites:
1 Li 0.0000 0.0000 0.0000 (multiplicity 4)
2 Ac 0.2500 0.2500 0.7500 (multiplicity 4)
3 Ga 0.2500 0.2500 0.2500 (multiplicity 4)
4 Ir 0.0000 0.0000 0.5000 (multiplicity 4)

---

On energetic grounds, <1> is preferred over the next structure by 23.5 kJ/mol of atoms.